6
Lattice="5.433 -1.616 0.000 5.433 1.616 0.000 -3.655 0.000 5.512" Properties=species:S:1:pos:R:3 comment="GGA+U CaNiO, optimized geometry" mass_density_g_cm3=3.94 magnetic_moment_mub_per_fu=1.00 dft_energy_ry_per_atom=-0.3206 pbc="T T T"
Ca 0.000 0.000 0.000
Ca -1.031 0.000 3.669
Ni 1.731 0.000 2.730
Ni 7.997 0.000 1.008
O 3.153 0.000 4.847
O 6.036 0.000 3.570